Here is K2Hg2Bi after structural relaxation from Alexandria. Energies are from GGA-PBE.

* E_tot: -1.57 eV per atom
* E above lowest polymorph: 0.093 eV per atom
* DFT formation energy: -0.2337 eV per atom
* DOS(E_F): 0.1754 states/eV per atom

abc: 6.5323 6.5323 6.5323
angles: 117.57 117.57 94.26
Sites, in units of the cell vectors:
K (0.2500, 0.7500, 0.5000)
K (0.7500, 0.2500, 0.5000)
Hg (0.1619, 0.1619, 0.0000)
Hg (0.8381, 0.8381, 0.0000)
Bi (0.5000, 0.5000, 0.0000)